[1]
La3InAs: PBEsol geometry, meta-GGA SCAN.

Computed properties:
- energy of formation (eV/f.u.) = 0.245
- N(E_F) (states/eV per atom) = 0.67
- V (A^3/atom) = 39.352
- crystal system = cubic

Unit cell a=5.8163 b=5.8163 c=5.8163 alpha=90.00 beta=90.00 gamma=90.00
Element x y z (fractional)
In 0.0000 0.0000 0.0000
La 0.0000 0.5000 0.0000
La 0.0000 0.0000 0.5000
As 0.5000 0.5000 0.5000
La 0.5000 0.0000 0.0000



[2]
Cs3IrPb: PBEsol geometry, meta-GGA SCAN.

Computed properties:
- energy of formation (eV/f.u.) = 3.583
- N(E_F) (states/eV per atom) = 0.50
- V (A^3/atom) = 43.274
- crystal system = cubic

Unit cell a=6.0034 b=6.0034 c=6.0034 alpha=90.00 beta=90.00 gamma=90.00
Element x y z (fractional)
Ir 0.0000 0.0000 0.0000
Cs 0.5000 0.0000 0.0000
Pb 0.5000 0.5000 0.5000
Cs 0.0000 0.5000 0.0000
Cs 0.0000 0.0000 0.5000



[3]
AlCr2ReI: PBEsol geometry, meta-GGA SCAN.

Computed properties:
- energy relative to the elements, uncorrected (eV/atom) = 1.36
- N(E_F) (states/eV per atom) = 0.80
- V (A^3/atom) = 20.536
- crystal system = tetragonal

Unit cell a=4.6021 b=4.7235 c=4.7235 alpha=90.00 beta=90.00 gamma=90.00
Element x y z (fractional)
Al 0.0000 0.0000 0.0000
I 0.5000 0.5000 0.5000
Cr 0.0000 0.0000 0.5000
Cr 0.0000 0.5000 0.0000
Re 0.5000 0.0000 0.0000



[4]
Cu3SiPd: PBEsol geometry, meta-GGA SCAN.

Computed properties:
- energy relative to the elements, uncorrected (eV/atom) = 1.19
- N(E_F) (states/eV per atom) = 0.38
- V (A^3/atom) = 18.621
- crystal system = cubic

Unit cell a=4.5323 b=4.5323 c=4.5323 alpha=90.00 beta=90.00 gamma=90.00
Element x y z (fractional)
Si 0.5000 0.5000 0.5000
Pd 0.0000 0.0000 0.0000
Cu 0.0000 0.5000 0.0000
Cu 0.5000 0.0000 0.0000
Cu 0.0000 0.0000 0.5000



[5]
Ca2YSc: PBEsol geometry, meta-GGA SCAN.

Computed properties:
- energy of formation (eV/f.u.) = 0.414
- N(E_F) (states/eV per atom) = 0.98
- excess energy over the best structure of this formula in the dataset (eV/atom) = 0.000
- V (A^3/atom) = 32.773
- crystal system = tetragonal

Unit cell a=3.6331 b=3.6331 c=9.9318 alpha=90.00 beta=90.00 gamma=90.00
Element x y z (fractional)
Sc 0.0000 0.0000 0.5180
Ca 0.5000 0.5000 0.2785
Y 0.5000 0.5000 0.7183
Ca 0.0000 0.0000 0.9852



[6]
RbFeHg2Pd: PBEsol geometry, meta-GGA SCAN.

Computed properties:
- energy of formation (eV/f.u.) = 7.123
- N(E_F) (states/eV per atom) = 1.59
- V (A^3/atom) = 37.682
- crystal system = tetragonal

Unit cell a=5.1384 b=6.0553 c=6.0553 alpha=90.00 beta=90.00 gamma=90.00
Element x y z (fractional)
Pd 0.5000 0.0000 0.0000
Fe 0.5000 0.5000 0.5000
Rb 0.0000 0.0000 0.0000
Hg 0.0000 0.0000 0.5000
Hg 0.0000 0.5000 0.0000



[7]
CaCr2Au: PBEsol geometry, meta-GGA SCAN.

Computed properties:
- energy of formation (eV/f.u.) = 2.173
- N(E_F) (states/eV per atom) = 0.70
- excess energy over the best structure of this formula in the dataset (eV/atom) = 0.270
- V (A^3/atom) = 19.500
- crystal system = orthorhombic

Unit cell a=3.6525 b=4.4242 c=4.8270 alpha=90.00 beta=90.00 gamma=90.01
Element x y z (fractional)
Cr 0.9997 0.7967 0.0000
Ca 0.5000 0.0000 0.5000
Cr 0.0003 0.2033 0.0000
Au 0.0000 0.5000 0.5000



[8]
Sc2SiN: PBEsol geometry, meta-GGA SCAN.

Computed properties:
- energy relative to the elements, uncorrected (eV/atom) = -0.10
- N(E_F) (states/eV per atom) = 0.81
- V (A^3/atom) = 15.141
- crystal system = cubic

Unit cell a=4.4081 b=4.4081 c=4.4081 alpha=60.00 beta=60.00 gamma=60.00
Element x y z (fractional)
N 0.0000 0.0000 0.0000
Sc 0.7500 0.7500 0.7500
Si 0.5000 0.5000 0.5000
Sc 0.2500 0.2500 0.2500



[9]
LiTcSb2: PBEsol geometry, meta-GGA SCAN.

Computed properties:
- energy relative to the elements, uncorrected (eV/atom) = -0.04
- N(E_F) (states/eV per atom) = 0.47
- excess energy over the best structure of this formula in the dataset (eV/atom) = 0.151
- V (A^3/atom) = 17.961
- crystal system = orthorhombic

Unit cell a=3.2930 b=4.4390 c=5.1835 alpha=90.02 beta=108.52 gamma=90.00
Element x y z (fractional)
Tc 0.4479 0.3752 0.8958
Sb 0.0248 0.8752 0.0497
Sb 0.7325 0.3747 0.4650
Li 0.2948 0.8750 0.5895



[10]
MgZr2In: PBEsol geometry, meta-GGA SCAN.

Computed properties:
- energy of formation (eV/f.u.) = -1.007
- N(E_F) (states/eV per atom) = 0.72
- V (A^3/atom) = 21.243
- crystal system = orthorhombic

Unit cell a=3.1326 b=5.3928 c=5.3928 alpha=111.14 beta=90.00 gamma=90.00
Element x y z (fractional)
In 0.5000 0.5000 0.5000
Zr 0.0000 0.0000 0.5000
Mg 0.5000 0.0000 0.0000
Zr 0.0000 0.5000 0.0000



[11]
LiZnCl2: PBEsol geometry, meta-GGA SCAN.

Computed properties:
- energy relative to the elements, uncorrected (eV/atom) = -1.10
- N(E_F) (states/eV per atom) = 0.19
- excess energy over the best structure of this formula in the dataset (eV/atom) = 0.000
- V (A^3/atom) = 18.968
- crystal system = orthorhombic

Unit cell a=3.7684 b=3.7684 c=5.3427 alpha=90.00 beta=90.00 gamma=90.07
Element x y z (fractional)
Li 0.6242 0.3758 0.0000
Cl 0.6255 0.3745 0.5000
Zn 0.1252 0.8748 0.5000
Cl 0.1259 0.8741 0.0000



[12]
NaMgIn3: PBEsol geometry, meta-GGA SCAN.

Computed properties:
- energy of formation (eV/f.u.) = 0.861
- N(E_F) (states/eV per atom) = 0.50
- V (A^3/atom) = 32.042
- crystal system = cubic

Unit cell a=5.4312 b=5.4312 c=5.4312 alpha=90.00 beta=90.00 gamma=90.00
Element x y z (fractional)
In 0.0000 0.0000 0.5000
Mg 0.0000 0.0000 0.0000
In 0.5000 0.0000 0.0000
In 0.0000 0.5000 0.0000
Na 0.5000 0.5000 0.5000